1.
! Ac2Sn4Pt3Pb PBE relaxed; values from VASP
! Fermi-level density of states = 0.378 states/eV per atom
! mass density = 11.22 g/cm3
! energy of formation from the pure elements = -716 meV per atom
&SYSTEM
  ibrav = 0, nat = 10, ntyp = 4
/
ATOMIC_SPECIES
Ac 227.00 Ac.upf
Sn 118.71 Sn.upf
Pt 195.08 Pt.upf
Pb 207.20 Pb.upf
ATOMIC_POSITIONS crystal
Ac 0.5000 0.0000 0.2426
Ac 0.0000 0.5000 0.7574
Sn 0.5000 0.5000 0.0000
Sn 0.0000 0.0000 0.0000
Sn 0.5000 0.0000 0.6464
Sn 0.0000 0.5000 0.3536
Pt 0.0000 0.0000 0.5000
Pt 0.5000 0.0000 0.8817
Pt 0.0000 0.5000 0.1183
Pb 0.5000 0.5000 0.5000
CELL_PARAMETERS angstrom
-0.1910 -3.7867 2.9117
4.6770 0.4442 0.8846
-2.2654 6.7267 8.5997

=====

2.
! NaLiSb PBE relaxed; values from VASP
! Fermi-level density of states = 0.215 states/eV per atom
! mass density = 3.00 g/cm3
! uncorrected formation energy = -99 kJ/mol of formula units
&SYSTEM
  ibrav = 0, nat = 12, ntyp = 3
/
ATOMIC_SPECIES
Li 6.94 Li.upf
Sb 121.76 Sb.upf
Na 22.99 Na.upf
ATOMIC_POSITIONS crystal
Li 0.0000 0.7832 0.5665
Li 0.0000 0.2168 0.4335
Li 0.5000 0.2832 0.5665
Li 0.5000 0.7168 0.4335
Sb 0.7645 0.5729 0.0000
Sb 0.2645 0.9271 0.0000
Sb 0.2355 0.4271 0.0000
Sb 0.7355 0.0729 0.0000
Na 0.6180 0.8077 0.0000
Na 0.8820 0.3077 0.0000
Na 0.1180 0.6923 0.0000
Na 0.3820 0.1923 0.0000
CELL_PARAMETERS angstrom
-7.0064 -3.4882 3.1261
4.7525 0.1580 10.8280
-3.6711 2.9909 -4.8905

=====

3.
! Ca4GaHg3 PBE relaxed; values from VASP
! Fermi-level density of states = 0.559 states/eV per atom
! mass density = 6.44 g/cm3
! energy of formation from the pure elements = -525 meV per atom
&SYSTEM
  ibrav = 0, nat = 8, ntyp = 3
/
ATOMIC_SPECIES
Ca 40.08 Ca.upf
Hg 200.59 Hg.upf
Ga 69.72 Ga.upf
ATOMIC_POSITIONS crystal
Ca 0.3774 0.3774 0.7548
Ca 0.6226 0.6226 0.2452
Ca 0.1226 0.1225 0.2452
Ca 0.8774 0.8775 0.7548
Hg 0.0000 0.5000 0.0000
Hg 0.7478 0.2477 0.4956
Hg 0.2522 0.7523 0.5044
Ga 0.5000 0.0000 0.0000
CELL_PARAMETERS angstrom
-2.7125 1.6478 4.3130
1.0842 -4.6349 2.4526
7.0859 4.4236 -0.5578